# 1
First-principles (PBE-GGA) data for a geometry-optimized SrNiAsH2 structure, as listed in Alexandria.

Structure (POSCAR):
```
SrNiAsH2
1.0
4.128 0.000 0.000
0.000 4.494 0.000
0.000 0.000 4.128
Sr As H Ni
1 1 2 1
Direct
0.500 0.500 0.500
0.000 0.000 0.000
0.000 0.000 0.500
0.500 0.000 0.000
0.000 0.500 0.000
```

Output
- ΔE to the lowest computed polymorph (eV per atom) = 0.4596
- symmetry = P4/mmm, No. 123

# 2
First-principles (PBE-GGA) data for a geometry-optimized SrNiAsH2 structure, as listed in Alexandria.

Structure (POSCAR):
```
SrNiAsH2
1.0
3.955 0.000 0.000
0.000 6.652 0.000
0.000 0.000 3.955
Sr As H Ni
1 1 2 1
Direct
0.000 0.000 0.000
0.000 0.500 0.000
0.000 0.000 0.500
0.500 0.000 0.000
0.500 0.500 0.500
```

Output
- ΔE to the lowest computed polymorph (eV per atom) = 1.0689
- symmetry = P4/mmm, No. 123